First-principles (meta-GGA SCAN) data for a PBEsol-optimized structure of CaIrPt2, as listed in Alexandria.

Cell: 3.377 3.377 6.135 Å, 90.00 90.00 90.00°
Positions (direct):
Ca (0.000, 0.000, 0.000)
Ir (0.500, 0.500, 0.304)
Pt (0.000, 0.000, 0.482)
Pt (0.500, 0.500, 0.730)

Properties
* relative energy among the computed polymorphs: 97.2 meV per atom
* density of states at the Fermi level: 0.822 states/eV per atom
* energy relative to the elements: -0.118 eV per atom
* SG: P4mm (99)
* total DFT energy (no corrections): -4.07219 Ry/atom